No. 1
# ZrMnIn

Crystalline ZrMnIn at its relaxed geometry (GGA-PBE, the Alexandria database).

Lattice parameters (Å, degrees): 6.414 6.414 6.414 90.00 90.00 90.00
Space group F-43m (No. 216)
Unique sites:
Zr 0.000 0.000 0.000 [4 per cell]
Mn 0.250 0.250 0.750 [4 per cell]
In 0.000 0.000 0.500 [4 per cell]

Results
Crystal system ... cubic
ΔH_f (0 K) ... 0.298 eV/atom


No. 2
# DyY6Ag

Crystalline DyY6Ag at its relaxed geometry (GGA-PBE, the Alexandria database).

Lattice parameters (Å, degrees): 9.3530 9.3530 9.7612 90.00 90.00 120.00
Space group R-3 (No. 148, hexagonal axes)
Unique sites:
Dy 0.0000 0.0000 0.0000 [3 per cell]
Y 0.0301 0.2528 0.7069 [18 per cell]
Ag 0.0000 0.0000 0.5000 [3 per cell]

Results
Crystal system ... trigonal
ΔH_f (0 K) ... 0.037 eV/atom


No. 3
# La5Pm4Pr4

Crystalline La5Pm4Pr4 at its relaxed geometry (GGA-PBE, the Alexandria database).

Lattice parameters (Å, degrees): 13.390 13.390 5.226 90.00 90.00 90.00
Space group I4/m (No. 87)
Unique sites:
La 0.000 0.000 0.000 [2 per cell]
La 0.039 0.191 0.500 [8 per cell]
Pm 0.155 0.768 0.000 [8 per cell]
Pr 0.077 0.384 0.000 [8 per cell]

Results
Crystal system ... tetragonal
ΔH_f (0 K) ... 0.017 eV/atom


No. 4
# Ba5S4Br

Crystalline Ba5S4Br at its relaxed geometry (GGA-PBE, the Alexandria database).

Lattice parameters (Å, degrees): 4.570 6.481 23.006 90.00 90.00 90.00
Space group Immm (No. 71)
Unique sites:
Ba 0.000 0.000 0.000 [2 per cell]
Ba 0.000 0.000 0.199 [4 per cell]
Ba 0.000 0.000 0.389 [4 per cell]
S 0.000 0.500 0.202 [4 per cell]
S 0.000 0.500 0.402 [4 per cell]
Br 0.000 0.500 0.000 [2 per cell]

Results
Crystal system ... orthorhombic
E_form (uncorrected) ... -1.99 eV/atom


No. 5
# ReNiPd

Crystalline ReNiPd at its relaxed geometry (GGA-PBE, the Alexandria database).

Lattice parameters (Å, degrees): 16.667 4.281 5.295 90.00 97.32 90.00
Space group C2/m (No. 12)
Unique sites:
Re 0.222 0.000 0.113 [4 per cell]
Re 0.222 0.000 0.623 [4 per cell]
Ni 0.136 0.500 0.064 [4 per cell]
Ni 0.140 0.500 0.577 [4 per cell]
Pd 0.008 0.500 0.754 [4 per cell]
Pd 0.085 0.000 0.314 [4 per cell]

Results
Crystal system ... monoclinic
ΔH_f (0 K) ... 0.312 eV/atom


No. 6
# PaFe2Ni10

Crystalline PaFe2Ni10 at its relaxed geometry (GGA-PBE, the Alexandria database).

Lattice parameters (Å, degrees): 4.708 11.532 11.740 90.00 90.00 90.00
Space group Fmmm (No. 69)
Unique sites:
Pa 0.000 0.000 0.000 [4 per cell]
Fe 0.250 0.000 0.250 [8 per cell]
Ni 0.000 0.109 0.390 [16 per cell]
Ni 0.000 0.176 0.175 [16 per cell]
Ni 0.250 0.250 0.000 [8 per cell]

Results
Crystal system ... orthorhombic
ΔH_f (0 K) ... -0.140 eV/atom


Density of states at the Fermi level: 23.5, 34.0, 48.6, 5.4, 28.4, 64.9 (states/eV per cell)
Energy: -19.6, -45.9, -62.5, -47.7, -22.5, -86.1 (eV/f.u.)